A plane-wave DFT calculation with GGA-PBE was carried out for RbGdEr2 after structural relaxation.

POSCAR file:
```
RbGdEr2
1.0
1.797 1.037 13.155
-1.797 1.037 13.155
0.000 -2.075 13.155
Rb Gd Er
1 1 2
direct
0.000 0.000 0.000
0.500 0.500 0.500
0.095 0.095 0.095
0.905 0.905 0.905
```

Summary:
**Energy of formation from the pure elements**: 0.33 eV/atom

A plane-wave DFT calculation with GGA-PBE was carried out for RbGd2Er after structural relaxation.

POSCAR file:
```
RbGd2Er
1.0
1.815 1.048 13.315
-1.815 1.048 13.315
0.000 -2.096 13.315
Rb Gd Er
1 2 1
direct
0.000 0.000 0.000
0.097 0.097 0.097
0.903 0.903 0.903
0.500 0.500 0.500
```

Summary:
**Energy of formation from the pure elements**: 0.28 eV/atom

A plane-wave DFT calculation with GGA-PBE was carried out for GdErRh2 after structural relaxation.

POSCAR file:
```
GdErRh2
1.0
4.888 0.000 0.000
0.000 4.888 0.000
0.000 0.000 3.370
Gd Er Rh
1 1 2
direct
0.000 0.000 0.000
0.500 0.500 0.000
0.000 0.500 0.500
0.500 0.000 0.500
```

Summary:
**Energy of formation from the pure elements**: -0.86 eV/atom
**Energy above the lowest structure with this stoichiometry**: 0.002 eV per atom

A plane-wave DFT calculation with GGA-PBE was carried out for GdErRh after structural relaxation.

POSCAR file:
```
GdErRh
1.0
0.000 3.400 3.400
3.400 0.000 3.400
3.400 3.400 0.000
Gd Er Rh
1 1 1
direct
0.000 0.000 0.000
0.500 0.500 0.500
0.750 0.750 0.750
```

Summary:
**Energy of formation from the pure elements**: -0.58 eV/atom
**Energy above the lowest structure with this stoichiometry**: 0.000 eV per atom

A plane-wave DFT calculation with GGA-PBE was carried out for GdErRh2 after structural relaxation.

POSCAR file:
```
GdErRh2
1.0
0.000 3.427 3.427
3.427 0.000 3.427
3.427 3.427 0.000
Gd Er Rh
1 1 2
direct
0.000 0.000 0.000
0.500 0.500 0.500
0.250 0.250 0.250
0.750 0.750 0.750
```

Summary:
**Energy of formation from the pure elements**: -0.86 eV/atom
**Energy above the lowest structure with this stoichiometry**: 0.000 eV per atom

A plane-wave DFT calculation with GGA-PBE was carried out for GdErRh4 after structural relaxation.

POSCAR file:
```
GdErRh4
1.0
0.000 3.774 3.774
3.774 0.000 3.774
3.774 3.774 0.000
Gd Er Rh
1 1 4
direct
0.000 0.000 0.000
0.250 0.250 0.250
0.125 0.625 0.625
0.625 0.125 0.625
0.625 0.625 0.125
0.625 0.625 0.625
```

Summary:
**Energy of formation from the pure elements**: -0.74 eV/atom

A plane-wave DFT calculation with GGA-PBE was carried out for GdErRh after structural relaxation.

POSCAR file:
```
GdErRh
1.0
-1.729 1.729 6.283
1.729 -1.729 6.283
1.729 1.729 -6.283
Gd Er Rh
1 1 1
direct
0.000 0.000 0.000
0.738 0.738 0.000
0.363 0.363 0.000
```

Summary:
**Energy of formation from the pure elements**: -0.56 eV/atom
**Energy above the lowest structure with this stoichiometry**: 0.021 eV per atom

A plane-wave DFT calculation with GGA-PBE was carried out for GdEr2Rh after structural relaxation.

POSCAR file:
```
GdEr2Rh
1.0
1.878 1.084 9.333
-1.878 1.084 9.333
0.000 -2.169 9.333
Gd Er Rh
1 2 1
direct
0.000 0.000 0.000
0.226 0.226 0.226
0.774 0.774 0.774
0.500 0.500 0.500
```

Summary:
**Energy of formation from the pure elements**: -0.35 eV/atom

A plane-wave DFT calculation with GGA-PBE was carried out for GdErRuRh after structural relaxation.

POSCAR file:
```
GdErRuRh
1.0
0.000 3.413 3.413
3.413 0.000 3.413
3.413 3.413 0.000
Gd Er Ru Rh
1 1 1 1
direct
0.000 0.000 0.000
0.500 0.500 0.500
0.750 0.750 0.750
0.250 0.250 0.250
```

Summary:
**Energy of formation from the pure elements**: -0.61 eV/atom

A plane-wave DFT calculation with GGA-PBE was carried out for GdErScRh after structural relaxation.

POSCAR file:
```
GdErScRh
1.0
0.000 3.581 3.581
3.581 0.000 3.581
3.581 3.581 0.000
Gd Er Sc Rh
1 1 1 1
direct
0.000 0.000 0.000
0.500 0.500 0.500
0.250 0.250 0.250
0.750 0.750 0.750
```

Summary:
**Energy of formation from the pure elements**: -0.20 eV/atom

A plane-wave DFT calculation with GGA-PBE was carried out for GdErSnRh after structural relaxation.

POSCAR file:
```
GdErSnRh
1.0
0.000 3.609 3.609
3.609 0.000 3.609
3.609 3.609 0.000
Gd Er Sn Rh
1 1 1 1
direct
0.000 0.000 0.000
0.500 0.500 0.500
0.250 0.250 0.250
0.750 0.750 0.750
```

Summary:
**Energy of formation from the pure elements**: -0.65 eV/atom

A plane-wave DFT calculation with GGA-PBE was carried out for GdErTcRh after structural relaxation.

POSCAR file:
```
GdErTcRh
1.0
0.000 3.420 3.420
3.420 0.000 3.420
3.420 3.420 0.000
Gd Er Tc Rh
1 1 1 1
direct
0.000 0.000 0.000
0.500 0.500 0.500
0.250 0.250 0.250
0.750 0.750 0.750
```

Summary:
**Energy of formation from the pure elements**: -0.32 eV/atom

A plane-wave DFT calculation with GGA-PBE was carried out for Gd2ErRu after structural relaxation.

POSCAR file:
```
Gd2ErRu
1.0
3.448 0.000 0.000
0.000 3.448 0.000
0.000 0.000 8.917
Gd Er Ru
2 1 1
direct
0.000 0.000 0.188
0.000 0.000 0.812
0.500 0.500 0.500
0.500 0.500 0.000
```

Summary:
**Energy of formation from the pure elements**: -0.14 eV/atom
**Energy above the lowest structure with this stoichiometry**: 0.000 eV per atom

A plane-wave DFT calculation with GGA-PBE was carried out for Gd3ErRu after structural relaxation.

POSCAR file:
```
Gd3ErRu
1.0
5.409 0.000 0.000
0.000 5.409 0.000
0.000 0.000 5.409
Gd Er Ru
3 1 1
direct
0.000 0.000 0.500
0.000 0.500 0.000
0.500 0.000 0.000
0.500 0.500 0.500
0.000 0.000 0.000
```

Summary:
**Energy of formation from the pure elements**: -0.04 eV/atom

A plane-wave DFT calculation with GGA-PBE was carried out for Gd2ErRu after structural relaxation.

POSCAR file:
```
Gd2ErRu
1.0
1.852 1.069 9.501
-1.852 1.069 9.501
0.000 -2.138 9.501
Gd Er Ru
2 1 1
direct
0.228 0.228 0.228
0.772 0.772 0.772
0.000 0.000 0.000
0.500 0.500 0.500
```

Summary:
**Energy of formation from the pure elements**: 0.01 eV/atom
**Energy above the lowest structure with this stoichiometry**: 0.150 eV per atom

A plane-wave DFT calculation with GGA-PBE was carried out for GdErScRu after structural relaxation.

POSCAR file:
```
GdErScRu
1.0
0.000 3.564 3.564
3.564 0.000 3.564
3.564 3.564 0.000
Gd Er Sc Ru
1 1 1 1
direct
0.000 0.000 0.000
0.500 0.500 0.500
0.750 0.750 0.750
0.250 0.250 0.250
```

Summary:
**Energy of formation from the pure elements**: -0.03 eV/atom

A plane-wave DFT calculation with GGA-PBE was carried out for GdErSnRu after structural relaxation.

POSCAR file:
```
GdErSnRu
1.0
0.000 3.587 3.587
3.587 0.000 3.587
3.587 3.587 0.000
Gd Er Sn Ru
1 1 1 1
direct
0.000 0.000 0.000
0.500 0.500 0.500
0.750 0.750 0.750
0.250 0.250 0.250
```

Summary:
**Energy of formation from the pure elements**: -0.40 eV/atom

A plane-wave DFT calculation with GGA-PBE was carried out for GdErTcRu after structural relaxation.

POSCAR file:
```
GdErTcRu
1.0
0.000 3.411 3.411
3.411 0.000 3.411
3.411 3.411 0.000
Gd Er Tc Ru
1 1 1 1
direct
0.000 0.000 0.000
0.500 0.500 0.500
0.250 0.250 0.250
0.750 0.750 0.750
```

Summary:
**Energy of formation from the pure elements**: -0.04 eV/atom

A plane-wave DFT calculation with GGA-PBE was carried out for GdErS2 after structural relaxation.

POSCAR file:
```
GdErS2
1.0
1.956 1.129 6.389
-1.956 1.129 6.389
0.000 -2.259 6.389
Gd Er S
1 1 2
direct
0.000 0.000 0.000
0.500 0.500 0.500
0.247 0.247 0.247
0.753 0.753 0.753
```

Summary:
**Formation energy without anion corrections**: -2.02 eV per atom

A plane-wave DFT calculation with GGA-PBE was carried out for GdEr3S after structural relaxation.

POSCAR file:
```
GdEr3S
1.0
5.265 0.000 0.000
0.000 5.265 0.000
0.000 0.000 5.265
Gd Er S
1 3 1
direct
0.000 0.000 0.000
0.000 0.500 0.500
0.500 0.000 0.500
0.500 0.500 0.000
0.500 0.500 0.500
```

Summary:
**Formation energy without anion corrections**: -0.63 eV per atom